1.
VASP calculation (PBE-GGA) on TaV2Zn after structural relaxation.

a b c (Å): 5.591 5.591 5.591
angles (deg): 102.51 102.51 124.53
Fractional positions:
Ta: 0.000 0.000 0.000
Ta: 0.750 0.250 0.500
V: 0.139 0.625 0.014
V: 0.375 0.389 0.514
V: 0.611 0.125 0.986
V: 0.875 0.861 0.486
Zn: 0.250 0.750 0.500
Zn: 0.500 0.500 0.000

Summary:
total magnetic moment: 0.00 μB/cell
total energy: -7.235 eV per atom
formation energy: 0.6059 eV per atom

---

2.
VASP calculation (PBE-GGA) on Ta2VZn after structural relaxation.

a b c (Å): 9.712 9.712 9.712
angles (deg): 16.83 16.83 16.83
Fractional positions:
Ta: 0.250 0.250 0.250
Ta: 0.750 0.750 0.750
V: 0.500 0.500 0.500
Zn: 0.000 0.000 0.000

Summary:
total magnetic moment: 0.00 μB/cell
total energy: -8.286 eV per atom
formation energy: 0.2383 eV per atom